1.
# GGA-PBE GeMoPCl2, optimized geometry
# - E above lowest polymorph: 454 meV per atom
# - Uncorrected formation energy: 0.75 eV/atom
# - Mass density: 3.9 g cm⁻³
# - Final energy: -20.8 eV/cell
# - N(E_F): 0.884 states/eV per atom
data_GeMoPCl2
_chemical_formula_sum 'Ge1 Mo1 P1 Cl2'
_space_group_name_H-M_alt 'P 1'
_space_group_IT_number 1
_cell_length_a 4.790
_cell_length_b 4.790
_cell_length_c 5.068
_cell_angle_alpha 90.00
_cell_angle_beta 90.00
_cell_angle_gamma 90.00
loop_
_space_group_symop_operation_xyz
'x,y,z'
loop_
_atom_site_label
_atom_site_type_symbol
_atom_site_fract_x
_atom_site_fract_y
_atom_site_fract_z
Ge1 Ge 0.000 0.000 0.000
Mo1 Mo 0.500 0.500 0.500
Cl1 Cl 0.000 0.500 0.000
Cl2 Cl 0.500 0.000 0.000
P1 P 0.000 0.000 0.500

***

2.
# GGA-PBE Ac10Tl3Hg3, optimized geometry
# - Formation energy from the elements: -0.300 eV per atom
# - Mass density: 9.5 g cm⁻³
# - Final energy: -53.9 eV/cell
# - N(E_F): 1.044 states/eV per atom
data_Ac10Tl3Hg3
_chemical_formula_sum 'Ac10 Tl3 Hg3'
_space_group_name_H-M_alt 'P 1'
_space_group_IT_number 1
_cell_length_a 7.441
_cell_length_b 9.729
_cell_length_c 9.729
_cell_angle_alpha 120.00
_cell_angle_beta 90.00
_cell_angle_gamma 90.00
loop_
_space_group_symop_operation_xyz
'x,y,z'
loop_
_atom_site_label
_atom_site_type_symbol
_atom_site_fract_x
_atom_site_fract_y
_atom_site_fract_z
Hg1 Hg 0.000 0.598 0.000
Hg2 Hg 0.000 0.000 0.598
Hg3 Hg 0.000 0.402 0.402
Ac1 Ac 0.000 0.759 0.759
Ac2 Ac 0.751 0.333 0.667
Ac3 Ac 0.500 0.240 0.240
Ac4 Ac 0.249 0.333 0.667
Ac5 Ac 0.500 0.000 0.760
Ac6 Ac 0.751 0.667 0.333
Ac7 Ac 0.000 0.241 0.000
Ac8 Ac 0.500 0.760 0.000
Ac9 Ac 0.249 0.667 0.333
Ac10 Ac 0.000 0.000 0.241
Tl1 Tl 0.500 0.404 0.000
Tl2 Tl 0.500 0.000 0.404
Tl3 Tl 0.500 0.596 0.596